Record 1
This record from the Alexandria database describes a relaxed SrHg5Au2 crystal. The functional is PBE.

Lattice parameters (Å, degrees): 4.4831 8.6153 10.6279 90.00 90.00 90.00
Space group Immm (No. 71)
Symmetry-distinct sites (fractional):
Sr  0.0000  0.0000  0.0000
Hg  0.0000  0.1866  0.3512
Hg  0.0000  0.5000  0.0000
Au  0.0000  0.5000  0.2773

Computed properties:
Formation energy from the elements (eV per atom): -0.23
DOS(E_F) (states/eV/f.u.): 2.3

=====

Record 2
This record from the Alexandria database describes a relaxed SrHg3Au3 crystal. The functional is PBE.

Lattice parameters (Å, degrees): 9.3415 4.5392 9.3511 90.00 119.96 90.00
Space group P2_1/m (No. 11)
Symmetry-distinct sites (fractional):
Sr  0.1666  0.2500  0.3331
Hg  0.2512  0.2500  0.9648
Hg  0.2862  0.7500  0.7513
Hg  0.4649  0.7500  0.2139
Au  0.0496  0.2500  0.6059
Au  0.1060  0.7500  0.0564
Au  0.4433  0.7500  0.5494

Computed properties:
Formation energy from the elements (eV per atom): -0.25
DOS(E_F) (states/eV/f.u.): 2.9

=====

Record 3
This record from the Alexandria database describes a relaxed SrHgAu2 crystal. The functional is PBE.

Lattice parameters (Å, degrees): 4.8245 4.8245 4.2587 90.00 90.00 90.00
Space group P4/mmm (No. 123)
Symmetry-distinct sites (fractional):
Sr  0.0000  0.0000  0.0000
Hg  0.5000  0.5000  0.0000
Au  0.0000  0.5000  0.5000

Computed properties:
Formation energy from the elements (eV per atom): -0.42
DOS(E_F) (states/eV/f.u.): 1.1